# 1
Computed, not measured: an optimized crystal structure of VCu2Si2 at the GGA-PBE level of DFT.

Cell lengths 6.8231, 6.8231, 2.7975 Å; angles 90.00, 90.00, 90.00 degrees
With the nearest neighbours (Å) after each atom.
Element x y z (fractional)
V1 0.0000 0.0000 0.0000  4 Si 2.56, 2 V 2.80
V2 0.5000 0.5000 0.0000  4 Si 2.56, 2 V 2.80
Cu1 0.1361 0.3639 0.5000  6 Si 2.41-2.47, 1 Cu 2.63
Cu2 0.3639 0.8639 0.5000  6 Si 2.41-2.47, 1 Cu 2.63
Cu3 0.6361 0.1361 0.5000  6 Si 2.41-2.47, 1 Cu 2.63
Cu4 0.8639 0.6361 0.5000  6 Si 2.41-2.47, 1 Cu 2.63
Si1 0.1610 0.6610 0.0000  6 Cu 2.41-2.47, 2 V 2.56
Si2 0.3390 0.1610 0.0000  6 Cu 2.41-2.47, 2 V 2.56
Si3 0.6610 0.8390 0.0000  6 Cu 2.41-2.47, 2 V 2.56
Si4 0.8390 0.3390 0.0000  6 Cu 2.41-2.47, 2 V 2.56

Results
raw formation energy = 0.03 eV/atom
space group = P4/mbm

=====

# 2
Computed, not measured: an optimized crystal structure of VCu2Si at the GGA-PBE level of DFT.

Cell lengths 9.5043, 9.5043, 9.5043 Å; angles 159.13, 159.13, 29.69 degrees
With the nearest neighbours (Å) after each atom.
Element x y z (fractional)
V1 0.0000 0.0000 0.0000  4 Si 2.43, 4 Cu 2.61
V2 0.7500 0.2500 0.5000  4 Si 2.43, 4 Cu 2.61
Cu1 0.1316 0.6250 0.0066  4 Cu 2.40-2.47, 2 Si 2.59, 2 V 2.61
Cu2 0.3750 0.3816 0.5066  4 Cu 2.40-2.47, 2 Si 2.59, 2 V 2.61
Cu3 0.6184 0.1250 0.9934  4 Cu 2.40-2.47, 2 Si 2.59, 2 V 2.61
Cu4 0.8750 0.8684 0.4934  4 Cu 2.40-2.47, 2 Si 2.59, 2 V 2.61
Si1 0.2500 0.7500 0.5000  4 V 2.43, 4 Cu 2.59
Si2 0.5000 0.5000 0.0000  4 V 2.43, 4 Cu 2.59

Results
raw formation energy = 0.17 eV/atom
space group = I-42d

=====

# 3
Computed, not measured: an optimized crystal structure of VCuSi at the GGA-PBE level of DFT.

Cell lengths 4.4031, 4.4031, 4.4031 Å; angles 136.51, 136.51, 63.19 degrees
With the nearest neighbours (Å) after each atom.
Element x y z (fractional)
V1 0.0000 0.0000 0.0000  5 Cu 2.50-2.63, 5 Si 2.54-2.61
Cu1 0.6672 0.6672 0.0000  5 Si 2.46-2.64, 5 V 2.50-2.63
Si1 0.3387 0.3387 0.0000  5 Cu 2.46-2.64, 5 V 2.54-2.61

Results
raw formation energy = 0.17 eV/atom
space group = I4mm

=====

# 4
Computed, not measured: an optimized crystal structure of V3CuSi at the GGA-PBE level of DFT.

Cell lengths 4.3391, 4.3391, 4.3391 Å; angles 90.00, 90.00, 90.00 degrees
With the nearest neighbours (Å) after each atom.
Element x y z (fractional)
V1 0.0000 0.0000 0.5000  2 Cu 2.17
V2 0.0000 0.5000 0.0000  2 Cu 2.17
V3 0.5000 0.0000 0.0000  2 Cu 2.17
Cu1 0.0000 0.0000 0.0000  6 V 2.17
Si1 0.5000 0.5000 0.5000  12 V 3.07

Results
E above lowest polymorph = 0.87 eV/f.u.
raw formation energy = 1.08 eV/atom
space group = Pm-3m

=====

# 5
Computed, not measured: an optimized crystal structure of V2CuSi at the GGA-PBE level of DFT.

Cell lengths 5.3279, 5.3279, 5.3279 Å; angles 102.71, 102.71, 124.06 degrees
With the nearest neighbours (Å) after each atom.
Element x y z (fractional)
V1 0.1216 0.6250 0.9966  2 Si 2.42, 2 Cu 2.45, 2 V 2.50
V2 0.3750 0.3716 0.4966  2 Si 2.42, 2 Cu 2.45, 2 V 2.50
V3 0.6284 0.1250 0.0034  2 Si 2.42, 2 Cu 2.45, 2 V 2.50
V4 0.8750 0.8784 0.5034  2 Si 2.42, 2 Cu 2.45, 2 V 2.50
Cu1 0.2500 0.7500 0.5000  4 V 2.45, 2 Si 2.50
Cu2 0.5000 0.5000 0.0000  4 V 2.45, 2 Si 2.50
Si1 0.0000 0.0000 0.0000  4 V 2.42, 2 Cu 2.50
Si2 0.7500 0.2500 0.5000  4 V 2.42, 2 Cu 2.50

Results
raw formation energy = 0.21 eV/atom
space group = I-42d

=====

# 6
Computed, not measured: an optimized crystal structure of V2CuSi2 at the GGA-PBE level of DFT.

Cell lengths 6.2131, 6.2131, 3.3871 Å; angles 90.00, 90.00, 90.00 degrees
With the nearest neighbours (Å) after each atom.
Element x y z (fractional)
V1 0.1682 0.3318 0.0000  6 Si 2.43-2.53
V2 0.3318 0.8318 0.0000  6 Si 2.43-2.53
V3 0.6682 0.1682 0.0000  6 Si 2.43-2.53
V4 0.8318 0.6682 0.0000  6 Si 2.43-2.53
Cu1 0.0000 0.0000 0.5000  4 Si 2.43
Cu2 0.5000 0.5000 0.5000  4 Si 2.43
Si1 0.1329 0.6329 0.5000  1 Si 2.34, 2 Cu 2.43, 6 V 2.43-2.53
Si2 0.3671 0.1329 0.5000  1 Si 2.34, 2 Cu 2.43, 6 V 2.43-2.53
Si3 0.6329 0.8671 0.5000  1 Si 2.34, 2 Cu 2.43, 6 V 2.43-2.53
Si4 0.8671 0.3671 0.5000  1 Si 2.34, 2 Cu 2.43, 6 V 2.43-2.53

Results
raw formation energy = -0.28 eV/atom
space group = P4/mbm

=====

| no. | spin magnetization (μB per cell) | final energy (eV/atom) |
| --- | --- | --- |
| 1 | 0.0 | -5.604 |
| 2 | 0.2 | -5.513 |
| 3 | 0.0 | -6.044 |
| 4 | 0.0 | -6.296 |
| 5 | 0.0 | -6.726 |
| 6 | 0.0 | -6.913 |